Record 1
Density functional theory data (PBE-GGA) for a relaxed AcHoSb2 crystal.

Cell lengths 4.5549, 4.5549, 15.0874 Å; angles 90.00, 90.00, 120.00 degrees
Last column: nearest neighbours and their distance in Å.
Space group P6_3/mmc (No. 194)
Asymmetric unit:
Ac 0.3333 0.6667 0.2500  6 Sb 3.36
Ho 0.0000 0.0000 0.0000  6 Sb 3.12
Sb 0.3333 0.6667 0.6114  3 Ho 3.12, 3 Ac 3.36

Computed properties:
Energy relative to the elements, uncorrected in meV per atom: -1109
Offset from the most stable computed form in eV per atom: 0.0330

Record 2
Density functional theory data (PBE-GGA) for a relaxed GePb crystal.

Cell lengths 7.8494, 7.8494, 4.5636 Å; angles 90.00, 90.00, 90.00 degrees
Last column: nearest neighbours and their distance in Å.
Space group P4_2/mnm (No. 136)
Asymmetric unit:
Ge 0.1766 0.1766 0.0000  4 Pb 2.78-2.80
Pb 0.1803 0.8197 0.0000  4 Ge 2.78-2.80

Computed properties:
Calculated formation energy in meV per atom: 323

Record 3
Density functional theory data (PBE-GGA) for a relaxed IrRuRh2 crystal.

Cell lengths 3.8389, 3.8389, 7.6935 Å; angles 90.00, 90.00, 90.00 degrees
Last column: nearest neighbours and their distance in Å.
Space group I-4m2 (No. 119)
Asymmetric unit:
Ir 0.0000 0.0000 0.0000  8 Rh 2.71-2.72, 4 Ru 2.72
Ru 0.0000 0.5000 0.2500  8 Rh 2.71-2.72, 4 Ir 2.72
Rh 0.0000 0.0000 0.5000  4 Ir 2.71, 4 Rh 2.72, 4 Ru 2.72
Rh 0.0000 0.5000 0.7500  4 Ru 2.71, 4 Rh 2.72, 4 Ir 2.72

Computed properties:
Calculated formation energy in meV per atom: 3
Offset from the most stable computed form in eV per atom: 0.0133

Record 4
Density functional theory data (PBE-GGA) for a relaxed Na6Ag2Pd crystal.

Cell lengths 5.0981, 5.0981, 31.0413 Å; angles 90.00, 90.00, 120.00 degrees
Last column: nearest neighbours and their distance in Å.
Space group R-3m (No. 166, hexagonal axes)
Asymmetric unit:
Na 0.0000 0.0000 0.0875  3 Ag 2.96
Na 0.0000 0.0000 0.1952  3 Pd 3.07, 7 Na 3.34-3.43
Na 0.0000 0.0000 0.3086  4 Ag 3.20-3.38, 7 Na 3.32-3.53
Ag 0.0000 0.0000 0.4116  1 Pd 2.75, 3 Na 2.96
Pd 0.0000 0.0000 0.5000  2 Ag 2.75, 6 Na 3.07

Computed properties:
Calculated formation energy in meV per atom: -27

Record 5
Density functional theory data (PBE-GGA) for a relaxed Mg3ScCo crystal.

Cell lengths 4.7583, 4.7583, 4.7583 Å; angles 90.00, 90.00, 90.00 degrees
Last column: nearest neighbours and their distance in Å.
Space group Pm-3m (No. 221)
Asymmetric unit:
Mg 0.0000 0.0000 0.5000  2 Co 2.38
Sc 0.5000 0.5000 0.5000  12 Mg 3.36
Co 0.0000 0.0000 0.0000  6 Mg 2.38

Computed properties:
Calculated formation energy in meV per atom: 268
Offset from the most stable computed form in eV per atom: 0.0000

Record 6
Density functional theory data (PBE-GGA) for a relaxed LiTh4Ga12 crystal.

Cell lengths 8.9137, 8.9137, 8.9137 Å; angles 90.00, 90.00, 90.00 degrees
Last column: nearest neighbours and their distance in Å.
Space group Im-3m (No. 229)
Asymmetric unit:
Li 0.0000 0.0000 0.0000  6 Ga 2.73
Th 0.2500 0.2500 0.2500  12 Ga 3.15-3.19
Ga 0.0000 0.0000 0.3068  1 Li 2.73, 4 Ga 2.82
Ga 0.0000 0.2500 0.5000  8 Ga 2.82-3.15, 4 Th 3.15

Computed properties:
Calculated formation energy in meV per atom: -500

Record 7
Density functional theory data (PBE-GGA) for a relaxed OsRuRh6 crystal.

Cell lengths 8.6107, 3.8305, 7.6617 Å; angles 90.00, 116.55, 90.00 degrees
Last column: nearest neighbours and their distance in Å.
Space group C2/m (No. 12)
Asymmetric unit:
Os 0.0000 0.0000 0.0000  12 Rh 2.70-2.72
Ru 0.0000 0.0000 0.5000  12 Rh 2.71-2.72
Rh 0.0009 0.5000 0.2496  2 Os 2.70, 8 Rh 2.71-2.73, 2 Ru 2.71
Rh 0.2495 0.0000 0.3744  1 Os 2.71, 8 Rh 2.71-2.73, 3 Ru 2.72
Rh 0.2494 0.5000 0.1242  8 Rh 2.70-2.72, 3 Os 2.71-2.72, 1 Ru 2.72

Computed properties:
Calculated formation energy in meV per atom: 49
Offset from the most stable computed form in eV per atom: 0.0000

Record 8
Density functional theory data (PBE-GGA) for a relaxed BeIBr2 crystal.

Cell lengths 7.1342, 7.1342, 9.5772 Å; angles 90.00, 90.00, 90.00 degrees
Last column: nearest neighbours and their distance in Å.
Space group I-42d (No. 122)
Asymmetric unit:
Be 0.0000 0.0000 0.0000  4 Br 2.22
I 0.0000 0.0000 0.5000  8 Br 3.68-4.05
Br 0.0812 0.2500 0.1250  2 Be 2.22

Computed properties:
Energy relative to the elements, uncorrected in meV per atom: -322
Offset from the most stable computed form in eV per atom: 0.1481

Record 9
Density functional theory data (PBE-GGA) for a relaxed Tb6InSe3S2 crystal.

Cell lengths 17.9587, 4.0037, 8.3811 Å; angles 90.00, 104.01, 90.00 degrees
Last column: nearest neighbours and their distance in Å.
Space group C2/m (No. 12)
Asymmetric unit:
Tb 0.0059 0.0000 0.2639  3 Se 2.83-2.98, 1 S 2.86, 2 In 2.97
Tb 0.1702 0.5000 0.0998  2 S 2.82, 3 Se 2.87-3.01, 1 In 2.97
Tb 0.1710 0.5000 0.5716  3 S 2.78-2.80, 3 Se 2.97-2.98
In 0.0000 0.5000 0.0000  6 Tb 2.97
Se 0.0000 0.5000 0.5000  6 Tb 2.83-2.98
Se 0.1652 0.0000 0.8297  6 Tb 2.87-3.01
S 0.1697 0.0000 0.3373  6 Tb 2.78-2.86

Computed properties:
Energy relative to the elements, uncorrected in meV per atom: -1592

Record 10
Density functional theory data (PBE-GGA) for a relaxed Na3Ac2PmSe6 crystal.

Cell lengths 19.0119, 4.4297, 8.6907 Å; angles 90.00, 101.47, 90.00 degrees
Last column: nearest neighbours and their distance in Å.
Space group C2/m (No. 12)
Asymmetric unit:
Na 0.0000 0.0000 0.0000  6 Se 3.11-3.21
Na 0.1639 0.5000 0.3312  6 Se 3.05-3.29
Ac 0.1653 0.5000 0.8276  6 Se 3.09-3.13
Pm 0.0000 0.0000 0.5000  6 Se 2.98-3.00
Se 0.0002 0.5000 0.2675  2 Pm 3.00, 3 Na 3.05-3.21, 1 Ac 3.09
Se 0.1598 0.0000 0.5768  1 Pm 2.98, 3 Na 3.09-3.29, 2 Ac 3.09
Se 0.1671 0.0000 0.0801  3 Ac 3.11-3.13, 3 Na 3.11-3.12

Computed properties:
Energy relative to the elements, uncorrected in meV per atom: -1709

Record 11
Density functional theory data (PBE-GGA) for a relaxed BeMoAs2 crystal.

Cell lengths 5.4993, 5.4993, 11.0086 Å; angles 90.00, 90.00, 90.00 degrees
Last column: nearest neighbours and their distance in Å.
Space group I-42d (No. 122)
Asymmetric unit:
Be 0.0000 0.0000 0.0000  4 As 2.29
Mo 0.0000 0.0000 0.5000  4 As 2.48
As 0.2192 0.2500 0.1250  2 Be 2.29, 2 Mo 2.48

Computed properties:
Calculated formation energy in meV per atom: 308

Record 12
Density functional theory data (PBE-GGA) for a relaxed SmTmZnRu crystal.

Cell lengths 6.9793, 6.9793, 6.9793 Å; angles 90.00, 90.00, 90.00 degrees
Last column: nearest neighbours and their distance in Å.
Space group F-43m (No. 216)
Asymmetric unit:
Sm 0.0000 0.0000 0.0000  4 Zn 3.02, 4 Ru 3.02
Tm 0.0000 0.0000 0.5000  4 Ru 3.02, 4 Zn 3.02
Zn 0.2500 0.2500 0.2500  4 Tm 3.02, 4 Sm 3.02
Ru 0.2500 0.2500 0.7500  4 Tm 3.02, 4 Sm 3.02

Computed properties:
Calculated formation energy in meV per atom: -329
Offset from the most stable computed form in eV per atom: 0.0000

Record 13
Density functional theory data (PBE-GGA) for a relaxed ErScPd2 crystal.

Cell lengths 6.8058, 6.8058, 6.8058 Å; angles 90.00, 90.00, 90.00 degrees
Last column: nearest neighbours and their distance in Å.
Space group Fm-3m (No. 225)
Asymmetric unit:
Er 0.0000 0.0000 0.0000  8 Pd 2.95
Sc 0.0000 0.0000 0.5000  8 Pd 2.95
Pd 0.2500 0.2500 0.2500  4 Er 2.95, 4 Sc 2.95

Computed properties:
Calculated formation energy in meV per atom: -894
Offset from the most stable computed form in eV per atom: 0.0243

Record 14
Density functional theory data (PBE-GGA) for a relaxed GaB2As crystal.

Cell lengths 5.9774, 2.9907, 6.4778 Å; angles 90.00, 102.33, 90.00 degrees
Last column: nearest neighbours and their distance in Å.
Space group Pm (No. 6)
Asymmetric unit:
Ga 0.0000 0.0000 0.0000  3 B 2.24-2.44, 1 Ga 2.44
Ga 0.4096 0.0000 0.0063  3 B 2.28-2.37, 1 Ga 2.44, 1 As 2.54
B 0.5020 0.5000 0.7529  3 B 1.74-1.76
B 0.6554 0.0000 0.7808  4 B 1.74-1.76
B 0.7890 0.5000 0.7287  4 B 1.70-1.76
B 0.9067 0.5000 0.5117  1 B 1.70
As 0.2463 0.5000 0.4785  2 B 2.08-2.09
As 0.7747 0.0000 0.2917  2 B 2.10

Computed properties:
Calculated formation energy in meV per atom: 259
Offset from the most stable computed form in eV per atom: 0.0444

Record 15
Density functional theory data (PBE-GGA) for a relaxed LaPm2YTm crystal.

Cell lengths 8.4659, 9.7379, 8.2878 Å; angles 90.00, 90.00, 90.00 degrees
Last column: nearest neighbours and their distance in Å.
Space group Cmcm (No. 63)
Asymmetric unit:
La 0.0000 0.1013 0.2500  1 Y 2.86, 4 Pm 3.02
Pm 0.2323 0.0000 0.0000  2 La 3.02, 2 Y 3.24
Y 0.0000 0.3947 0.2500  1 La 2.86
Tm 0.0000 0.2584 0.7500  1 Y 3.38, 1 La 3.50

Computed properties:
Calculated formation energy in meV per atom: 436

Record 16
Density functional theory data (PBE-GGA) for a relaxed Sm8As4Se3S crystal.

Cell lengths 8.3554, 8.3554, 20.5153 Å; angles 90.00, 90.00, 120.00 degrees
Last column: nearest neighbours and their distance in Å.
Space group R-3m (No. 166, hexagonal axes)
Asymmetric unit:
Sm 0.0000 0.0000 0.2464  3 As 2.91, 3 Se 3.00
Sm 0.0045 0.5022 0.7524  3 As 2.92-2.96, 1 S 2.96, 2 Se 3.00
As 0.0000 0.0000 0.5000  6 Sm 2.96
As 0.0000 0.5000 0.5000  6 Sm 2.91-2.92
Se 0.0000 0.5000 0.0000  6 Sm 3.00
S 0.0000 0.0000 0.0000  6 Sm 2.96

Computed properties:
Energy relative to the elements, uncorrected in meV per atom: -1748